Entry 1:
This record from Alexandria describes K4Tb3InO8 after structural relaxation. The functional is PBE-GGA.

Properties
Total DFT energy (no corrections)   -6.22 eV/atom
Formation energy from raw total energies   -2.43 eV per atom
Volume   261.2 Å³/cell

abc: 7.4371 7.4371 7.4371
angles: 55.60 55.60 55.60
Positions (direct):
K1 0.0000 0.0000 0.0000
K2 0.0000 0.5000 0.5000
K3 0.5000 0.0000 0.5000
K4 0.5000 0.5000 0.0000
Tb1 0.0000 0.0000 0.5000
Tb2 0.0000 0.5000 0.0000
Tb3 0.5000 0.0000 0.0000
In1 0.5000 0.5000 0.5000
O1 0.2285 0.2285 0.2285
O2 0.2327 0.7279 0.7279
O3 0.2721 0.2721 0.7673
O4 0.2721 0.7673 0.2721
O5 0.7279 0.2327 0.7279
O6 0.7279 0.7279 0.2327
O7 0.7673 0.2721 0.2721
O8 0.7715 0.7715 0.7715


Entry 2:
This record from Alexandria describes La2CuHg after structural relaxation. The functional is PBE-GGA.

Properties
Total DFT energy (no corrections)   -3.75 eV/atom
Energy of formation from the pure elements   -186 meV/atom
Volume   114.7 Å³/cell

abc: 6.4931 6.4931 6.4931
angles: 42.84 42.84 42.84
Positions (direct):
La1 0.0000 0.0000 0.0000
La2 0.1891 0.1891 0.1891
Cu1 0.4178 0.4178 0.4178
Hg1 0.7654 0.7654 0.7654


Entry 3:
This record from Alexandria describes NpZnSn2 after structural relaxation. The functional is PBE-GGA.

Properties
Total DFT energy (no corrections)   -5.37 eV/atom
Energy of formation from the pure elements   183 meV/atom
ΔE to the lowest computed polymorph   0.2736 eV/atom
Volume   98.0 Å³/cell

abc: 10.8291 10.8291 10.8291
angles: 17.30 17.30 17.30
Positions (direct):
Np1 0.0000 0.0000 0.0000
Zn1 0.5000 0.5000 0.5000
Sn1 0.4174 0.4174 0.4174
Sn2 0.5826 0.5826 0.5826


Entry 4:
This record from Alexandria describes AcYErAl after structural relaxation. The functional is PBE-GGA.

Properties
Total DFT energy (no corrections)   -4.63 eV/atom
Energy of formation from the pure elements   89 meV/atom
Volume   118.2 Å³/cell

abc: 5.5080 5.5080 5.5080
angles: 60.00 60.00 60.00
Positions (direct):
Ac1 0.0000 0.0000 0.0000
Y1 0.7500 0.7500 0.7500
Er1 0.2500 0.2500 0.2500
Al1 0.5000 0.5000 0.5000


Entry 5:
This record from Alexandria describes MgFe2Ag after structural relaxation. The functional is PBE-GGA.

Properties
Total DFT energy (no corrections)   -5.10 eV/atom
Energy of formation from the pure elements   245 meV/atom
Volume   58.7 Å³/cell

abc: 3.7420 3.7420 4.1930
angles: 90.00 90.00 90.00
Positions (direct):
Mg1 0.0000 0.0000 0.0000
Fe1 0.0000 0.5000 0.5000
Fe2 0.5000 0.0000 0.5000
Ag1 0.5000 0.5000 0.0000


Entry 6:
This record from Alexandria describes Pr5Te after structural relaxation. The functional is PBE-GGA.

Properties
Total DFT energy (no corrections)   -4.84 eV/atom
Formation energy from raw total energies   -0.33 eV per atom
Volume   196.9 Å³/cell

abc: 8.3473 8.3473 4.9668
angles: 90.00 90.00 145.31
Positions (direct):
Pr1 0.0000 0.0000 0.0000
Pr2 0.1581 0.8419 0.5000
Pr3 0.3389 0.6611 0.0000
Pr4 0.6611 0.3389 0.0000
Pr5 0.8419 0.1581 0.5000
Te1 0.5000 0.5000 0.5000


Entry 7:
This record from Alexandria describes La2ErTm5 after structural relaxation. The functional is PBE-GGA.

Properties
Total DFT energy (no corrections)   -4.44 eV/atom
Energy of formation from the pure elements   153 meV/atom
Volume   523.4 Å³/cell

abc: 6.5066 6.5066 15.9034
angles: 90.00 90.00 128.98
Positions (direct):
La1 0.2176 0.7824 0.6282
La2 0.2176 0.7824 0.8718
La3 0.7824 0.2176 0.1282
La4 0.7824 0.2176 0.3718
Er1 0.2499 0.7501 0.2500
Er2 0.7501 0.2499 0.7500
Tm1 0.0823 0.9177 0.0849
Tm2 0.0823 0.9177 0.4151
Tm3 0.3863 0.6137 0.0516
Tm4 0.3863 0.6137 0.4484
Tm5 0.4656 0.5344 0.7500
Tm6 0.5344 0.4656 0.2500
Tm7 0.6137 0.3863 0.5516
Tm8 0.6137 0.3863 0.9484
Tm9 0.9177 0.0823 0.5849
Tm10 0.9177 0.0823 0.9151


Entry 8:
This record from Alexandria describes Al2CoTc after structural relaxation. The functional is PBE-GGA.

Properties
Total DFT energy (no corrections)   -6.08 eV/atom
Energy of formation from the pure elements   159 meV/atom
ΔE to the lowest computed polymorph   0.5796 eV/atom
Volume   116.0 Å³/cell

abc: 5.3763 5.3763 5.3763
angles: 104.09 104.09 120.88
Positions (direct):
Al1 0.0972 0.1250 0.4722
Al2 0.3750 0.9028 0.0278
Al3 0.6528 0.6250 0.5278
Al4 0.8750 0.3472 0.9722
Co1 0.0000 0.0000 0.0000
Co2 0.7500 0.2500 0.5000
Tc1 0.2500 0.7500 0.5000
Tc2 0.5000 0.5000 0.0000


Entry 9:
This record from Alexandria describes U2CuSi3Ir4 after structural relaxation. The functional is PBE-GGA.

Properties
Total DFT energy (no corrections)   -8.50 eV/atom
Formation energy from raw total energies   -0.66 eV per atom
Volume   166.0 Å³/cell

abc: 4.0154 4.0154 10.2936
angles: 90.00 90.00 90.00
Positions (direct):
U1 0.0000 0.5000 0.2426
U2 0.5000 0.0000 0.7574
Cu1 0.5000 0.5000 0.0000
Si1 0.0000 0.0000 0.0000
Si2 0.0000 0.5000 0.6278
Si3 0.5000 0.0000 0.3722
Ir1 0.0000 0.0000 0.5000
Ir2 0.0000 0.5000 0.8540
Ir3 0.5000 0.0000 0.1460
Ir4 0.5000 0.5000 0.5000


Entry 10:
This record from Alexandria describes Tm9Pb3C2 after structural relaxation. The functional is PBE-GGA.

Properties
Total DFT energy (no corrections)   -5.44 eV/atom
Energy of formation from the pure elements   -456 meV/atom
Volume   339.2 Å³/cell

abc: 6.8368 6.8368 8.3786
angles: 90.00 90.00 120.00
Positions (direct):
Tm1 0.0000 0.5000 0.0000
Tm2 0.1694 0.3387 0.6694
Tm3 0.1694 0.8306 0.6694
Tm4 0.3387 0.1694 0.3306
Tm5 0.5000 0.0000 0.0000
Tm6 0.5000 0.5000 0.0000
Tm7 0.6613 0.8306 0.6694
Tm8 0.8306 0.1694 0.3306
Tm9 0.8306 0.6613 0.3306
Pb1 0.0000 0.0000 0.0000
Pb2 0.3333 0.6667 0.3337
Pb3 0.6667 0.3333 0.6663
C1 0.3333 0.6667 0.8318
C2 0.6667 0.3333 0.1682


Entry 11:
This record from Alexandria describes TaMoN after structural relaxation. The functional is PBE-GGA.

Properties
Total DFT energy (no corrections)   -10.78 eV/atom
Formation energy from raw total energies   -0.45 eV per atom
Volume   39.3 Å³/cell

abc: 3.1070 3.1070 4.6988
angles: 90.00 90.00 120.00
Positions (direct):
Ta1 0.0000 0.0000 0.0000
Mo1 0.6667 0.3333 0.4946
N1 0.3333 0.6667 0.7460


Entry 12:
This record from Alexandria describes Sm3PSe2 after structural relaxation. The functional is PBE-GGA.

Properties
Total DFT energy (no corrections)   -6.23 eV/atom
ΔE to the lowest computed polymorph   0.0053 eV/atom
Formation energy from raw total energies   -1.80 eV per atom
Volume   304.3 Å³/cell

abc: 7.1975 7.1975 7.1733
angles: 99.72 99.72 119.62
Positions (direct):
Sm1 0.0000 0.5000 0.5000
Sm2 0.1528 0.3059 0.0002
Sm3 0.3059 0.1528 0.5002
Sm4 0.5000 0.0000 0.0000
Sm5 0.6941 0.8472 0.4998
Sm6 0.8472 0.6941 0.9998
P1 0.0863 0.9137 0.7500
P2 0.9137 0.0863 0.2500
Se1 0.2537 0.7463 0.2500
Se2 0.4174 0.5826 0.7500
Se3 0.5826 0.4174 0.2500
Se4 0.7463 0.2537 0.7500


Entry 13:
This record from Alexandria describes PmPrInAu after structural relaxation. The functional is PBE-GGA.

Properties
Total DFT energy (no corrections)   -4.45 eV/atom
Energy of formation from the pure elements   -560 meV/atom
Volume   111.0 Å³/cell

abc: 5.3944 5.3944 5.3944
angles: 60.00 60.00 60.00
Positions (direct):
Pm1 0.0000 0.0000 0.0000
Pr1 0.5000 0.5000 0.5000
In1 0.7500 0.7500 0.7500
Au1 0.2500 0.2500 0.2500


Entry 14:
This record from Alexandria describes Zn3CoRe after structural relaxation. The functional is PBE-GGA.

Properties
Total DFT energy (no corrections)   -3.52 eV/atom
Energy of formation from the pure elements   1160 meV/atom
ΔE to the lowest computed polymorph   0.0000 eV/atom
Volume   84.4 Å³/cell

abc: 4.3864 4.3864 4.3864
angles: 90.00 90.00 90.00
Positions (direct):
Zn1 0.0000 0.0000 0.5000
Zn2 0.0000 0.5000 0.0000
Zn3 0.5000 0.0000 0.0000
Co1 0.0000 0.0000 0.0000
Re1 0.5000 0.5000 0.5000


Entry 15:
This record from Alexandria describes CoCuSnPt after structural relaxation. The functional is PBE-GGA.

Properties
Total DFT energy (no corrections)   -5.42 eV/atom
Energy of formation from the pure elements   -106 meV/atom
Volume   59.6 Å³/cell

abc: 4.3852 4.3852 4.3852
angles: 60.00 60.00 60.00
Positions (direct):
Co1 0.0000 0.0000 0.0000
Cu1 0.7500 0.7500 0.7500
Sn1 0.2500 0.2500 0.2500
Pt1 0.5000 0.5000 0.5000


Entry 16:
This record from Alexandria describes CaZn3As after structural relaxation. The functional is PBE-GGA.

Properties
Total DFT energy (no corrections)   -1.94 eV/atom
Energy of formation from the pure elements   153 meV/atom
ΔE to the lowest computed polymorph   0.0000 eV/atom
Volume   123.0 Å³/cell

abc: 4.9727 4.9727 4.9727
angles: 90.00 90.00 90.00
Positions (direct):
Ca1 0.0000 0.0000 0.0000
Zn1 0.0000 0.5000 0.5000
Zn2 0.5000 0.0000 0.5000
Zn3 0.5000 0.5000 0.0000
As1 0.5000 0.5000 0.5000


Entry 17:
This record from Alexandria describes Ac4HBr2 after structural relaxation. The functional is PBE-GGA.

Properties
Total DFT energy (no corrections)   -3.76 eV/atom
Volume   258.8 Å³/cell

abc: 11.2572 11.2572 11.2572
angles: 154.77 154.77 35.98
Positions (direct):
Ac1 0.0000 0.5000 0.5000
Ac2 0.1491 0.1491 0.0000
Ac3 0.5000 0.0000 0.5000
Ac4 0.8509 0.8509 0.0000
H1 0.0000 0.0000 0.0000
Br1 0.2987 0.2987 0.0000
Br2 0.7013 0.7013 0.0000